Record 1
{"formula": "RbLa2Ta", "functional": "PBE-GGA", "state": "optimized geometry", "spacegroup": "I-42d, No. 122", "de_polymorph_mev_per_atom": 28, "formation_enthalpy_0k_ev_per_fu": 4.1, "energy_ev_per_atom": -4.65, "lattice": [[-4.467, 4.467, 4.503], [4.467, -4.467, 4.503], [4.467, 4.467, -4.503]], "species": ["Rb", "Rb", "La", "La", "La", "La", "Ta", "Ta"], "fractional_positions": [[0.000, 0.000, 0.000], [0.750, 0.250, 0.500], [0.265, 0.625, 0.140], [0.375, 0.515, 0.640], [0.485, 0.125, 0.860], [0.875, 0.735, 0.360], [0.250, 0.750, 0.500], [0.500, 0.500, 0.000]]}

---

Record 2
{"formula": "Zn4GaCuNi2", "functional": "PBE-GGA", "state": "optimized geometry", "spacegroup": "P4/mmm, No. 123", "formation_enthalpy_0k_ev_per_fu": 0.4, "energy_ev_per_atom": -2.92, "lattice": [[3.519, 0.000, 0.000], [0.000, 3.519, 0.000], [0.000, 0.000, 9.601]], "species": ["Zn", "Zn", "Zn", "Zn", "Ga", "Cu", "Ni", "Ni"], "fractional_positions": [[0.000, 0.500, 0.194], [0.000, 0.500, 0.806], [0.500, 0.000, 0.194], [0.500, 0.000, 0.806], [0.000, 0.000, 0.500], [0.000, 0.000, 0.000], [0.500, 0.500, 0.380], [0.500, 0.500, 0.620]]}

---

Record 3
{"formula": "La2NiHgGe", "functional": "PBE-GGA", "state": "optimized geometry", "spacegroup": "P4/mmm, No. 123", "formation_enthalpy_0k_ev_per_fu": -2.2, "energy_ev_per_atom": -4.56, "lattice": [[5.500, 0.000, 0.000], [0.000, 5.500, 0.000], [0.000, 0.000, 4.460]], "species": ["La", "La", "Ni", "Hg", "Ge"], "fractional_positions": [[0.000, 0.500, 0.000], [0.500, 0.000, 0.000], [0.000, 0.000, 0.000], [0.500, 0.500, 0.500], [0.000, 0.000, 0.500]]}

---

Record 4
{"formula": "RbNi3S", "functional": "PBE-GGA", "state": "optimized geometry", "spacegroup": "Pm-3m, No. 221", "de_polymorph_mev_per_atom": 1951, "e_form_raw_mev_per_atom": 2222.8, "energy_ev_per_atom": -2.27, "lattice": [[4.666, 0.000, 0.000], [0.000, 4.666, 0.000], [0.000, 0.000, 4.666]], "species": ["Rb", "Ni", "Ni", "Ni", "S"], "fractional_positions": [[0.000, 0.000, 0.000], [0.000, 0.000, 0.500], [0.000, 0.500, 0.000], [0.500, 0.000, 0.000], [0.500, 0.500, 0.500]]}

---

Record 5
{"formula": "LiSi3Ge", "functional": "PBE-GGA", "state": "optimized geometry", "spacegroup": "Pm-3m, No. 221", "de_polymorph_mev_per_atom": 0, "e_form_raw_mev_per_atom": 853.4, "energy_ev_per_atom": -3.71, "lattice": [[4.442, 0.000, 0.000], [0.000, 4.442, 0.000], [0.000, 0.000, 4.442]], "species": ["Li", "Si", "Si", "Si", "Ge"], "fractional_positions": [[0.000, 0.000, 0.000], [0.000, 0.000, 0.500], [0.000, 0.500, 0.000], [0.500, 0.000, 0.000], [0.500, 0.500, 0.500]]}

---

Record 6
{"formula": "Er2GeIr", "functional": "PBE-GGA", "state": "optimized geometry", "spacegroup": "P2_1/m, No. 11", "formation_enthalpy_0k_ev_per_fu": -3.5, "energy_ev_per_atom": -6.54, "lattice": [[5.754, 0.000, 0.000], [0.000, 4.130, 0.000], [-2.760, 0.000, 7.396]], "species": ["Er", "Er", "Er", "Er", "Ge", "Ge", "Ir", "Ir"], "fractional_positions": [[0.182, 0.250, 0.410], [0.268, 0.750, 0.058], [0.732, 0.250, 0.942], [0.818, 0.750, 0.590], [0.378, 0.750, 0.706], [0.622, 0.250, 0.294], [0.141, 0.250, 0.787], [0.859, 0.750, 0.213]]}